1.
Computed, not measured: a relaxed structure of Cs2SnF6 at the PBEsol level of DFT.

**Formation energy without anion corrections**: -2.783 eV per atom
**Space-group type**: P-3m1
**DFT total energy**: -4.751 eV per atom

Cell and atoms, written as POSCAR:
```
Cs2SnF6
1.0
6.2683 0.0000 0.0000
-3.1342 5.4285 0.0000
0.0000 0.0000 5.0013
Cs Sn F
2 1 6
Cartesian
0.0000 3.6190 1.5113
3.1342 1.8095 3.4900
0.0000 0.0000 0.0000
0.0000 1.6609 3.9006
-1.6958 4.5981 3.9006
1.4384 0.8304 1.1007
1.6958 4.5981 3.9006
4.8299 0.8304 1.1007
3.1342 3.7676 1.1007
```


2.
Computed, not measured: a relaxed structure of CsSr3F at the PBEsol level of DFT.

**Formation energy without anion corrections**: -0.802 eV per atom
**Space-group type**: Pm-3m
**DFT total energy**: -2.480 eV per atom

Cell and atoms, written as POSCAR:
```
CsSr3F
1.0
5.9816 0.0000 0.0000
0.0000 5.9816 0.0000
0.0000 0.0000 5.9816
Cs Sr F
1 3 1
Cartesian
0.0000 0.0000 0.0000
0.0000 2.9908 2.9908
2.9908 0.0000 2.9908
2.9908 2.9908 0.0000
2.9908 2.9908 2.9908
```


3.
Computed, not measured: a relaxed structure of CsTbF5 at the PBEsol level of DFT.

**Formation energy without anion corrections**: -3.141 eV per atom
**Space-group type**: Cmce
**DFT total energy**: -5.368 eV per atom

Cell and atoms, written as POSCAR:
```
CsTbF5
1.0
7.1170 -4.1621 0.0000
7.1170 4.1621 0.0000
0.0000 0.0000 8.3349
Cs Tb F
4 4 20
Cartesian
2.7609 0.0000 0.0000
4.3561 0.0000 4.1674
9.8780 0.0000 4.1674
11.4731 0.0000 0.0000
7.1170 2.8250 5.5005
7.1170 1.3371 1.3331
7.1170 -1.3371 7.0018
7.1170 -2.8250 2.8343
4.9357 2.5530 5.7177
7.1170 3.5531 1.7354
1.3948 0.0000 4.1674
4.9357 1.6092 1.5503
7.1170 2.4220 7.7128
7.1170 1.7401 3.5453
9.2984 2.5530 5.7177
5.7222 0.0000 0.0000
7.1170 0.6090 5.9029
9.2984 1.6092 1.5503
4.9357 -1.6092 6.7846
7.1170 -0.6090 2.4320
8.5118 0.0000 0.0000
4.9357 -2.5530 2.6171
7.1170 -1.7401 4.7895
7.1170 -2.4220 0.6221
9.2984 -1.6092 6.7846
12.8393 0.0000 4.1674
7.1170 -3.5531 6.5995
9.2984 -2.5530 2.6171
```


4.
Computed, not measured: a relaxed structure of Cs2TcF6 at the PBEsol level of DFT.

**Formation energy without anion corrections**: -2.596 eV per atom
**Space-group type**: P-3m1
**DFT total energy**: -5.342 eV per atom

Cell and atoms, written as POSCAR:
```
Cs2TcF6
1.0
6.1898 0.0000 0.0000
-3.0949 5.3605 0.0000
0.0000 0.0000 4.9659
Cs Tc F
2 1 6
Cartesian
0.0000 3.5737 1.0114
3.0949 1.7868 3.9545
0.0000 0.0000 2.4829
0.0000 1.6198 3.5548
-1.6921 4.5506 3.5548
1.4028 0.8099 1.4111
1.6921 4.5506 3.5548
4.7870 0.8099 1.4111
3.0949 3.7407 1.4111
```


5.
Computed, not measured: a relaxed structure of CsTc3F at the PBEsol level of DFT.

**Formation energy without anion corrections**: 1.893 eV per atom
**Space-group type**: Pm-3m
**DFT total energy**: -5.440 eV per atom

Cell and atoms, written as POSCAR:
```
CsTc3F
1.0
4.4382 0.0000 0.0000
0.0000 4.4382 0.0000
0.0000 0.0000 4.4382
Cs Tc F
1 3 1
Cartesian
0.0000 0.0000 0.0000
0.0000 2.2191 2.2191
2.2191 0.0000 2.2191
2.2191 2.2191 0.0000
2.2191 2.2191 2.2191
```


6.
Computed, not measured: a relaxed structure of CsTiF4 at the PBEsol level of DFT.

**Formation energy without anion corrections**: -3.212 eV per atom
**Space-group type**: P4/nmm
**DFT total energy**: -6.041 eV per atom

Cell and atoms, written as POSCAR:
```
CsTiF4
1.0
7.8704 0.0000 0.0000
0.0000 7.8704 0.0000
0.0000 0.0000 6.5455
Cs Ti F
4 4 16
Cartesian
1.9676 1.9676 0.3229
1.9676 5.9028 0.0000
5.9028 1.9676 0.0000
5.9028 5.9028 6.2225
0.0000 0.0000 3.2727
0.0000 3.9352 3.2727
3.9352 0.0000 3.2727
3.9352 3.9352 3.2727
0.0159 5.9028 3.5368
0.2140 0.2140 5.1691
0.2140 3.7212 5.1691
1.9676 3.9511 3.0086
1.9676 7.8545 3.0086
3.7212 0.2140 5.1691
3.7212 3.7212 5.1691
3.9193 5.9028 3.5368
3.9511 1.9676 3.0086
4.1492 4.1492 1.3763
4.1492 7.6564 1.3763
5.9028 0.0159 3.5368
5.9028 3.9193 3.5368
7.6564 4.1492 1.3763
7.6564 7.6564 1.3763
7.8545 1.9676 3.0086
```


7.
Computed, not measured: a relaxed structure of CsTiF2 at the PBEsol level of DFT.

**Formation energy without anion corrections**: -2.026 eV per atom
**Space-group type**: R-3m
**DFT total energy**: -5.306 eV per atom

Cell and atoms, written as POSCAR:
```
CsTiF2
1.0
1.8684 1.0787 7.4602
-1.8684 1.0787 7.4602
0.0000 -2.1574 7.4602
Cs Ti F
1 1 2
Cartesian
0.0000 0.0000 0.0000
0.0000 0.0000 11.1903
0.0000 0.0000 9.2957
0.0000 0.0000 13.0849
```


8.
Computed, not measured: a relaxed structure of Cs3TiF7 at the PBEsol level of DFT.

**Formation energy without anion corrections**: -3.183 eV per atom
**Space-group type**: P4/mbm
**DFT total energy**: -5.423 eV per atom

Cell and atoms, written as POSCAR:
```
Cs3TiF7
1.0
8.3576 0.0000 0.0000
0.0000 8.3576 0.0000
0.0000 0.0000 6.2382
Cs Ti F
6 2 14
Cartesian
0.0000 0.0000 0.0000
1.5993 2.5795 3.1191
2.5795 6.7583 3.1191
4.1788 4.1788 0.0000
5.7782 1.5993 3.1191
6.7583 5.7782 3.1191
0.0000 4.1788 0.0000
4.1788 0.0000 0.0000
0.0000 0.0000 3.1191
0.9265 5.1053 1.3449
0.9265 5.1053 4.8933
1.3267 2.8521 0.0000
2.8521 7.0309 0.0000
3.2523 0.9265 1.3449
3.2523 0.9265 4.8933
4.1788 4.1788 3.1191
5.1053 7.4312 1.3449
5.1053 7.4312 4.8933
5.5056 1.3267 0.0000
7.0309 5.5056 0.0000
7.4312 3.2523 1.3449
7.4312 3.2523 4.8933
```


9.
Computed, not measured: a relaxed structure of CsTlF2 at the PBEsol level of DFT.

**Formation energy without anion corrections**: -2.100 eV per atom
**Relative energy among the computed polymorphs**: 0.000 eV/atom
**Space-group type**: I-42d
**DFT total energy**: -3.957 eV per atom

Cell and atoms, written as POSCAR:
```
CsTlF2
1.0
-3.1667 3.1667 6.0413
3.1667 -3.1667 6.0413
3.1667 3.1667 -6.0413
Cs Tl F
2 2 4
Cartesian
0.0000 0.0000 0.0000
0.0000 3.1667 3.0207
3.1667 0.0000 3.0207
0.0000 0.0000 6.0413
1.5833 -1.3739 4.5310
1.7928 1.5833 1.5103
1.5833 4.5406 -1.5103
1.3739 1.5833 7.5516
```


10.
Computed, not measured: a relaxed structure of CsTl3F at the PBEsol level of DFT.

**Formation energy without anion corrections**: 0.569 eV per atom
**Space-group type**: Pm-3m
**DFT total energy**: -1.583 eV per atom

Cell and atoms, written as POSCAR:
```
CsTl3F
1.0
6.6545 0.0000 0.0000
0.0000 6.6545 0.0000
0.0000 0.0000 6.6545
Cs Tl F
1 3 1
Cartesian
0.0000 0.0000 0.0000
0.0000 0.0000 3.3273
0.0000 3.3273 0.0000
3.3273 0.0000 0.0000
3.3273 3.3273 3.3273
```


11.
Computed, not measured: a relaxed structure of Cs3TlF6 at the PBEsol level of DFT.

**Formation energy without anion corrections**: -2.398 eV per atom
**Space-group type**: I4/mmm
**DFT total energy**: -4.100 eV per atom

Cell and atoms, written as POSCAR:
```
Cs3TlF6
1.0
-3.4456 3.4456 5.0852
3.4456 -3.4456 5.0852
3.4456 3.4456 -5.0852
Cs Tl F
3 1 6
Cartesian
0.0000 0.0000 0.0000
3.4456 0.0000 2.5426
0.0000 3.4456 2.5426
0.0000 0.0000 5.0852
3.4456 1.3072 0.0000
0.0000 0.0000 2.8121
1.3072 3.4456 0.0000
2.1384 0.0000 5.0852
0.0000 0.0000 7.3583
0.0000 2.1384 5.0852
```


12.
Computed, not measured: a relaxed structure of CsTlF2 at the PBEsol level of DFT.

**Formation energy without anion corrections**: -1.963 eV per atom
**Relative energy among the computed polymorphs**: 0.137 eV/atom
**Space-group type**: R-3m
**DFT total energy**: -3.820 eV per atom

Cell and atoms, written as POSCAR:
```
CsTlF2
1.0
2.1241 1.2264 8.0346
-2.1241 1.2264 8.0346
0.0000 -2.4527 8.0346
Cs Tl F
1 1 2
Cartesian
0.0000 0.0000 0.0000
0.0000 0.0000 12.0519
0.0000 0.0000 9.6806
0.0000 0.0000 14.4232
```


Which of these has the lowest formation energy without anion corrections?
CsTiF4


Please write out number 1 again, unchanged.
Computed, not measured: a relaxed structure of Cs2SnF6 at the PBEsol level of DFT.

**Formation energy without anion corrections**: -2.783 eV per atom
**Space-group type**: P-3m1
**DFT total energy**: -4.751 eV per atom

Cell and atoms, written as POSCAR:
```
Cs2SnF6
1.0
6.2683 0.0000 0.0000
-3.1342 5.4285 0.0000
0.0000 0.0000 5.0013
Cs Sn F
2 1 6
Cartesian
0.0000 3.6190 1.5113
3.1342 1.8095 3.4900
0.0000 0.0000 0.0000
0.0000 1.6609 3.9006
-1.6958 4.5981 3.9006
1.4384 0.8304 1.1007
1.6958 4.5981 3.9006
4.8299 0.8304 1.1007
3.1342 3.7676 1.1007
```


The highest DFT total energy belongs to which entry?
CsTl3F


Please write out number 5 again, unchanged.
Computed, not measured: a relaxed structure of CsTc3F at the PBEsol level of DFT.

**Formation energy without anion corrections**: 1.893 eV per atom
**Space-group type**: Pm-3m
**DFT total energy**: -5.440 eV per atom

Cell and atoms, written as POSCAR:
```
CsTc3F
1.0
4.4382 0.0000 0.0000
0.0000 4.4382 0.0000
0.0000 0.0000 4.4382
Cs Tc F
1 3 1
Cartesian
0.0000 0.0000 0.0000
0.0000 2.2191 2.2191
2.2191 0.0000 2.2191
2.2191 2.2191 0.0000
2.2191 2.2191 2.2191
```